Below is a relaxed structure of AlCu2, with properties calculated at the PBEsol level.

Crystal system: monoclinic
ρ, g/cm3: 6.91
Total DFT energy (no corrections), eV per atom: -4.42

Cell: 2.7633 4.8632 6.0563 Å, 107.50 90.00 106.51°
With the nearest neighbours (Å) after each atom.
Atoms (fractional coordinates):
Cu  0.0323  0.0645  0.2902  7 Cu 2.52-2.79, 5 Al 2.52-2.61
Cu  0.9677  0.9355  0.7098  7 Cu 2.52-2.79, 5 Al 2.52-2.61
Cu  0.3560  0.7119  0.9631  9 Cu 2.52-2.76, 3 Al 2.53-2.55
Cu  0.6440  0.2881  0.0369  9 Cu 2.52-2.76, 3 Al 2.53-2.55
Al  0.6771  0.3542  0.6373  8 Cu 2.52-2.61, 4 Al 2.76-2.82
Al  0.3229  0.6458  0.3627  8 Cu 2.52-2.61, 4 Al 2.76-2.82

---

Below is a relaxed structure of NiSe2, with properties calculated at the PBEsol level.

Crystal system: cubic
ρ, g/cm3: 7.27
Formation energy from raw total energies, eV per atom: -0.306

Cell: 5.8281 5.8281 5.8281 Å, 90.00 90.00 90.00°
With the nearest neighbours (Å) after each atom.
Atoms (fractional coordinates):
Ni  0.5000  0.0000  0.5000  6 Se 2.41
Ni  0.5000  0.5000  0.0000  6 Se 2.41
Ni  0.0000  0.5000  0.5000  6 Se 2.41
Ni  0.0000  0.0000  0.0000  6 Se 2.41
Se  0.8731  0.1269  0.6269  3 Ni 2.41, 1 Se 2.56
Se  0.6269  0.6269  0.6269  3 Ni 2.41, 1 Se 2.56
Se  0.3731  0.3731  0.3731  3 Ni 2.41, 1 Se 2.56
Se  0.8731  0.3731  0.1269  3 Ni 2.41, 1 Se 2.56
Se  0.1269  0.8731  0.3731  3 Ni 2.41, 1 Se 2.56
Se  0.1269  0.6269  0.8731  3 Ni 2.41, 1 Se 2.56
Se  0.3731  0.1269  0.8731  3 Ni 2.41, 1 Se 2.56
Se  0.6269  0.8731  0.1269  3 Ni 2.41, 1 Se 2.56

---

Below is a relaxed structure of Cu3SbSe4, with properties calculated at the PBEsol level.

Crystal system: tetragonal
ρ, g/cm3: 5.90
Formation energy from raw total energies, eV per atom: -0.157

Cell: 5.6241 5.6241 6.8620 Å, 114.19 114.19 90.00°
With the nearest neighbours (Å) after each atom.
Atoms (fractional coordinates):
Sb  0.0000  0.0000  0.0000  4 Se 2.62
Cu  0.7500  0.2500  0.5000  4 Se 2.37
Cu  0.5000  0.5000  0.0000  4 Se 2.38
Cu  0.2500  0.7500  0.5000  4 Se 2.37
Se  0.5953  0.5953  0.7296  3 Cu 2.37-2.38, 1 Sb 2.62
Se  0.1343  0.1343  0.7296  3 Cu 2.37-2.38, 1 Sb 2.62
Se  0.8657  0.4047  0.2704  3 Cu 2.37-2.38, 1 Sb 2.62
Se  0.4047  0.8657  0.2704  3 Cu 2.37-2.38, 1 Sb 2.62

---

Below is a relaxed structure of MoRh3N, with properties calculated at the PBEsol level.

Crystal system: cubic
ρ, g/cm3: 10.81
Formation energy from raw total energies, eV per atom: 0.362

Cell: 4.0062 4.0062 4.0062 Å, 90.00 90.00 90.00°
With the nearest neighbours (Å) after each atom.
Atoms (fractional coordinates):
Rh  0.0000  0.5000  0.0000  2 N 2.00
Rh  0.5000  0.0000  0.0000  2 N 2.00
Rh  0.0000  0.0000  0.5000  2 N 2.00
N  0.0000  0.0000  0.0000  6 Rh 2.00
Mo  0.5000  0.5000  0.5000  12 Rh 2.83

---

no.,calculated volume (Å³ per atom)
1,12.35
2,16.50
3,22.11
4,12.86